VASP calculation (GGA-PBEsol) on a relaxed CrMo2 crystal.

It has space group P4/mmm (No. 123), with a = 4.048 Å, b = 4.048 Å, c = 2.889 Å, α = 90.00°, β = 90.00° and γ = 90.00°. The distinct sites, in fractional coordinates, are Cr at (0.000, 0.000, 0.000) and Mo at (0.000, 0.500, 0.500).

The value obtained for the formation energy is 859 meV/atom. For the total magnetization, the calculation gives 0.000 μB per atom. The calculated total energy is -31.20 eV/f.u.